# 1
Material: CaCdSb2
Method: DFT, PBE-GGA
State: relaxed

Lattice parameters (Å, degrees): 5.623 5.623 3.419 90.00 90.00 90.00
Fractional coordinates of all 4 atoms:
1 Ca 0.000 0.000 0.000
2 Cd 0.500 0.500 0.000
3 Sb 0.000 0.500 0.500
4 Sb 0.500 0.000 0.500

Output
* DOS(E_F): 0.26 states/eV per atom
* formation energy from raw total energies: -0.36 eV per atom

# 2
Material: Ca2CdSb2
Method: DFT, PBE-GGA
State: relaxed

Lattice parameters (Å, degrees): 8.110 8.110 8.110 125.28 75.07 132.84
Fractional coordinates of all 10 atoms:
1 Ca 0.129 0.174 0.303
2 Ca 0.371 0.674 0.046
3 Ca 0.629 0.326 0.954
4 Ca 0.871 0.826 0.697
5 Cd 0.250 0.750 0.500
6 Cd 0.750 0.250 0.500
7 Sb 0.128 0.744 0.872
8 Sb 0.372 0.244 0.616
9 Sb 0.628 0.756 0.384
10 Sb 0.872 0.256 0.128

Output
* DOS(E_F): 0.02 states/eV per atom
* formation energy from raw total energies: -0.74 eV per atom

# 3
Material: CaCd2Sb
Method: DFT, PBE-GGA
State: relaxed

Lattice parameters (Å, degrees): 6.881 6.881 6.881 101.37 101.37 127.27
Fractional coordinates of all 8 atoms:
1 Ca 0.000 0.000 0.000
2 Ca 0.750 0.250 0.500
3 Cd 0.162 0.625 0.037
4 Cd 0.375 0.412 0.537
5 Cd 0.588 0.125 0.963
6 Cd 0.875 0.838 0.463
7 Sb 0.250 0.750 0.500
8 Sb 0.500 0.500 0.000

Output
* DOS(E_F): 1.04 states/eV per atom
* formation energy from raw total energies: -0.23 eV per atom

# 4
Material: CaCdSb4
Method: DFT, PBE-GGA
State: relaxed

Lattice parameters (Å, degrees): 6.329 6.329 6.329 60.00 60.00 60.00
Fractional coordinates of all 6 atoms:
1 Ca 0.000 0.000 0.000
2 Cd 0.750 0.750 0.750
3 Sb 0.376 0.376 0.376
4 Sb 0.376 0.376 0.872
5 Sb 0.376 0.872 0.376
6 Sb 0.872 0.376 0.376

Output
* DOS(E_F): 0.44 states/eV per atom
* formation energy from raw total energies: -0.09 eV per atom

# 5
Material: CaCdSb2
Method: DFT, PBE-GGA
State: relaxed

Lattice parameters (Å, degrees): 3.474 4.999 6.501 90.00 90.00 90.00
Fractional coordinates of all 4 atoms:
1 Ca 0.000 0.000 0.000
2 Cd 0.500 0.500 0.336
3 Sb 0.000 0.000 0.493
4 Sb 0.500 0.500 0.873

Output
* DOS(E_F): 0.60 states/eV per atom
* formation energy from raw total energies: -0.31 eV per atom

# 6
Material: CaCd4Sb
Method: DFT, PBE-GGA
State: relaxed

Lattice parameters (Å, degrees): 6.009 6.009 6.009 60.00 60.00 60.00
Fractional coordinates of all 6 atoms:
1 Ca 0.000 0.000 0.000
2 Cd 0.125 0.625 0.625
3 Cd 0.625 0.125 0.625
4 Cd 0.625 0.625 0.125
5 Cd 0.625 0.625 0.625
6 Sb 0.250 0.250 0.250

Output
* DOS(E_F): 0.57 states/eV per atom
* formation energy from raw total energies: -0.12 eV per atom

- Look up the DOS(E_F) of the third one.
  1.04 states/eV per atom

- Which value of formation energy from raw total energies does entry 5 give?
  -0.31 eV per atom